The following is a DFT calculation (meta-GGA SCAN) of a crystal of Sc4PbSe relaxed with PBEsol.

```
data_Sc4PbSe
_chemical_formula_sum 'Sc4 Pb1 Se1'
_cell_length_a 5.752
_cell_length_b 5.752
_cell_length_c 5.752
_cell_angle_alpha 60.00
_cell_angle_beta 60.00
_cell_angle_gamma 60.00
_symmetry_space_group_name_H-M 'P 1'
_symmetry_Int_Tables_number 1
loop_
_symmetry_equiv_pos_as_xyz
'x,y,z'
loop_
_atom_site_label
_atom_site_type_symbol
_atom_site_fract_x
_atom_site_fract_y
_atom_site_fract_z
Pb1 Pb 0.000 0.000 0.000
Sc1 Sc 0.374 0.374 0.374
Sc2 Sc 0.374 0.374 0.878
Sc3 Sc 0.878 0.374 0.374
Sc4 Sc 0.374 0.878 0.374
Se1 Se 0.750 0.750 0.750
```

Computed properties:
- Total magnetization: 3.13 μB/f.u.
- E_form (uncorrected): -47 meV per atom

---

The following is a DFT calculation (meta-GGA SCAN) of a crystal of NbMoCl2 relaxed with PBEsol.

```
data_NbMoCl2
_chemical_formula_sum 'Nb1 Mo1 Cl2'
_cell_length_a 2.994
_cell_length_b 2.994
_cell_length_c 8.680
_cell_angle_alpha 80.07
_cell_angle_beta 80.07
_cell_angle_gamma 60.00
_symmetry_space_group_name_H-M 'P 1'
_symmetry_Int_Tables_number 1
loop_
_symmetry_equiv_pos_as_xyz
'x,y,z'
loop_
_atom_site_label
_atom_site_type_symbol
_atom_site_fract_x
_atom_site_fract_y
_atom_site_fract_z
Mo1 Mo 0.500 0.500 0.500
Nb1 Nb 0.000 0.000 0.000
Cl1 Cl 0.903 0.903 0.292
Cl2 Cl 0.097 0.097 0.708
```

Computed properties:
- Total magnetization: 0.00 μB/f.u.
- E_form (uncorrected): 103 meV per atom

---

The following is a DFT calculation (meta-GGA SCAN) of a crystal of SrLa2Hg relaxed with PBEsol.

```
data_SrLa2Hg
_chemical_formula_sum 'Sr1 La2 Hg1'
_cell_length_a 3.736
_cell_length_b 5.655
_cell_length_c 7.172
_cell_angle_alpha 113.22
_cell_angle_beta 105.10
_cell_angle_gamma 90.00
_symmetry_space_group_name_H-M 'P 1'
_symmetry_Int_Tables_number 1
loop_
_symmetry_equiv_pos_as_xyz
'x,y,z'
loop_
_atom_site_label
_atom_site_type_symbol
_atom_site_fract_x
_atom_site_fract_y
_atom_site_fract_z
Sr1 Sr 0.500 0.000 0.000
Hg1 Hg 0.000 0.500 0.000
La1 La 0.711 0.711 0.422
La2 La 0.289 0.289 0.578
```

Computed properties:
- Energy relative to the elements: -0.322 eV per atom
- Total magnetization: 0.00 μB/f.u.

---

The following is a DFT calculation (meta-GGA SCAN) of a crystal of CaPPb2 relaxed with PBEsol.

```
data_CaPPb2
_chemical_formula_sum 'Ca1 P1 Pb2'
_cell_length_a 3.889
_cell_length_b 4.255
_cell_length_c 6.859
_cell_angle_alpha 107.96
_cell_angle_beta 90.00
_cell_angle_gamma 90.00
_symmetry_space_group_name_H-M 'P 1'
_symmetry_Int_Tables_number 1
loop_
_symmetry_equiv_pos_as_xyz
'x,y,z'
loop_
_atom_site_label
_atom_site_type_symbol
_atom_site_fract_x
_atom_site_fract_y
_atom_site_fract_z
Ca1 Ca 0.000 0.109 0.593
P1 P 0.500 0.641 0.659
Pb1 Pb 0.000 0.818 0.009
Pb2 Pb 0.500 0.432 0.238
```

Computed properties:
- Energy relative to the elements: -0.472 eV per atom
- Total magnetization: 0.00 μB/f.u.

---

Q: Which formula does entry 1 have?
A: Sc4PbSe

---

Q: Which value of total magnetization does entry 3 give?
A: 0.00 μB/f.u.

---

Copy entry 3 word for word.
The following is a DFT calculation (meta-GGA SCAN) of a crystal of SrLa2Hg relaxed with PBEsol.

```
data_SrLa2Hg
_chemical_formula_sum 'Sr1 La2 Hg1'
_cell_length_a 3.736
_cell_length_b 5.655
_cell_length_c 7.172
_cell_angle_alpha 113.22
_cell_angle_beta 105.10
_cell_angle_gamma 90.00
_symmetry_space_group_name_H-M 'P 1'
_symmetry_Int_Tables_number 1
loop_
_symmetry_equiv_pos_as_xyz
'x,y,z'
loop_
_atom_site_label
_atom_site_type_symbol
_atom_site_fract_x
_atom_site_fract_y
_atom_site_fract_z
Sr1 Sr 0.500 0.000 0.000
Hg1 Hg 0.000 0.500 0.000
La1 La 0.711 0.711 0.422
La2 La 0.289 0.289 0.578
```

Computed properties:
- Energy relative to the elements: -0.322 eV per atom
- Total magnetization: 0.00 μB/f.u.

---

Q: What is the total magnetization in the third record?
A: 0.00 μB/f.u.